A plane-wave DFT calculation with SCAN was carried out for a crystal of BaCu2Si relaxed with PBEsol.

It has space group I4_1/amd (No. 141, origin choice 2), with a = 4.964 Å, b = 4.964 Å, c = 15.312 Å, α = 90.00°, β = 90.00° and γ = 90.00°. The inequivalent atoms are Ba at (0.000, 0.250, 0.375), Cu at (0.000, 0.000, 0.000) and Si at (0.000, 0.250, 0.875).

The calculation puts the uncorrected formation energy at -0.175 eV per atom. The total magnetic moment is 0.0 Bohr magnetons per cell. The density of states at the Fermi level comes out at 2.1 states/eV per cell.